This record from the Alexandria database describes an optimized crystal structure of BaScP4. The functional is PBE-GGA.

Computed properties:
As for the magnetization: 0.00 μB per cell.

The structure in CIF format:
```
data_BaScP4
_chemical_formula_sum 'Ba1 Sc1 P4'
_cell_length_a 5.529
_cell_length_b 5.529
_cell_length_c 5.529
_cell_angle_alpha 60.00
_cell_angle_beta 60.00
_cell_angle_gamma 60.00
_space_group_name_H-M_alt 'P 1'
_space_group_IT_number 1
loop_
_space_group_symop_operation_xyz
'x,y,z'
loop_
_atom_site_label
_atom_site_fract_x
_atom_site_fract_y
_atom_site_fract_z
Ba1 0.000 0.000 0.000
Sc1 0.250 0.250 0.250
P1 0.160 0.613 0.613
P2 0.613 0.160 0.613
P3 0.613 0.613 0.160
P4 0.613 0.613 0.613
```

This record from the Alexandria database describes an optimized crystal structure of BaSc3P. The functional is PBE-GGA.

Computed properties:
The value obtained for the polymorph energy (0 for the lowest one) is 1690.1 meV/atom. As for the magnetization: 0.00 μB per cell.

The structure in CIF format:
```
data_BaSc3P
_chemical_formula_sum 'Ba1 Sc3 P1'
_cell_length_a 5.229
_cell_length_b 5.229
_cell_length_c 5.229
_cell_angle_alpha 90.00
_cell_angle_beta 90.00
_cell_angle_gamma 90.00
_space_group_name_H-M_alt 'P 1'
_space_group_IT_number 1
loop_
_space_group_symop_operation_xyz
'x,y,z'
loop_
_atom_site_label
_atom_site_fract_x
_atom_site_fract_y
_atom_site_fract_z
Ba1 0.000 0.000 0.000
Sc1 0.000 0.000 0.500
Sc2 0.000 0.500 0.000
Sc3 0.500 0.000 0.000
P1 0.500 0.500 0.500
```

This record from the Alexandria database describes an optimized crystal structure of Ba2ScP. The functional is PBE-GGA.

Computed properties:
As for the magnetization: 0.91 μB per cell.

The structure in CIF format:
```
data_Ba2ScP
_chemical_formula_sum 'Ba2 Sc1 P1'
_cell_length_a 10.129
_cell_length_b 10.129
_cell_length_c 10.129
_cell_angle_alpha 158.79
_cell_angle_beta 157.59
_cell_angle_gamma 31.05
_space_group_name_H-M_alt 'P 1'
_space_group_IT_number 1
loop_
_space_group_symop_operation_xyz
'x,y,z'
loop_
_atom_site_label
_atom_site_fract_x
_atom_site_fract_y
_atom_site_fract_z
Ba1 0.154 0.154 0.000
Ba2 0.846 0.846 0.000
Sc1 0.500 0.000 0.500
P1 0.000 0.500 0.500
```

This record from the Alexandria database describes an optimized crystal structure of Ba2ScP. The functional is PBE-GGA.

Computed properties:
As for the magnetization: 2.13 μB per cell.

The structure in CIF format:
```
data_Ba2ScP
_chemical_formula_sum 'Ba2 Sc1 P1'
_cell_length_a 10.335
_cell_length_b 10.335
_cell_length_c 10.335
_cell_angle_alpha 24.58
_cell_angle_beta 24.58
_cell_angle_gamma 24.58
_space_group_name_H-M_alt 'P 1'
_space_group_IT_number 1
loop_
_space_group_symop_operation_xyz
'x,y,z'
loop_
_atom_site_label
_atom_site_fract_x
_atom_site_fract_y
_atom_site_fract_z
Ba1 0.227 0.227 0.227
Ba2 0.773 0.773 0.773
Sc1 0.000 0.000 0.000
P1 0.500 0.500 0.500
```

This record from the Alexandria database describes an optimized crystal structure of Ba2ScP. The functional is PBE-GGA.

Computed properties:
As for the magnetization: 0.51 μB per cell.

The structure in CIF format:
```
data_Ba2ScP
_chemical_formula_sum 'Ba2 Sc1 P1'
_cell_length_a 6.270
_cell_length_b 6.270
_cell_length_c 6.270
_cell_angle_alpha 134.33
_cell_angle_beta 134.33
_cell_angle_gamma 66.57
_space_group_name_H-M_alt 'P 1'
_space_group_IT_number 1
loop_
_space_group_symop_operation_xyz
'x,y,z'
loop_
_atom_site_label
_atom_site_fract_x
_atom_site_fract_y
_atom_site_fract_z
Ba1 0.250 0.750 0.500
Ba2 0.750 0.250 0.500
Sc1 0.000 0.000 0.000
P1 0.500 0.500 0.000
```

This record from the Alexandria database describes an optimized crystal structure of Ba2ScP. The functional is PBE-GGA.

Computed properties:
As for the magnetization: 0.01 μB per cell.

The structure in CIF format:
```
data_Ba2ScP
_chemical_formula_sum 'Ba2 Sc1 P1'
_cell_length_a 6.443
_cell_length_b 6.443
_cell_length_c 6.443
_cell_angle_alpha 136.06
_cell_angle_beta 136.06
_cell_angle_gamma 63.88
_space_group_name_H-M_alt 'P 1'
_space_group_IT_number 1
loop_
_space_group_symop_operation_xyz
'x,y,z'
loop_
_atom_site_label
_atom_site_fract_x
_atom_site_fract_y
_atom_site_fract_z
Ba1 0.000 0.000 0.000
Ba2 0.750 0.250 0.500
Sc1 0.500 0.500 0.000
P1 0.250 0.750 0.500
```

This record from the Alexandria database describes an optimized crystal structure of BaScP. The functional is PBE-GGA.

Computed properties:
The value obtained for the polymorph energy (0 for the lowest one) is 268.7 meV/atom. As for the magnetization: 0.00 μB per cell.

The structure in CIF format:
```
data_BaScP
_chemical_formula_sum 'Ba1 Sc1 P1'
_cell_length_a 6.713
_cell_length_b 6.713
_cell_length_c 6.713
_cell_angle_alpha 147.96
_cell_angle_beta 147.96
_cell_angle_gamma 45.94
_space_group_name_H-M_alt 'P 1'
_space_group_IT_number 1
loop_
_space_group_symop_operation_xyz
'x,y,z'
loop_
_atom_site_label
_atom_site_fract_x
_atom_site_fract_y
_atom_site_fract_z
Ba1 0.000 0.000 0.000
Sc1 0.734 0.734 0.000
P1 0.275 0.275 0.000
```

This record from the Alexandria database describes an optimized crystal structure of BaSc3P. The functional is PBE-GGA.

Computed properties:
The value obtained for the polymorph energy (0 for the lowest one) is 0.0 meV/atom. As for the magnetization: 2.16 μB per cell.

The structure in CIF format:
```
data_BaSc3P
_chemical_formula_sum 'Ba1 Sc3 P1'
_cell_length_a 5.184
_cell_length_b 5.184
_cell_length_c 5.184
_cell_angle_alpha 90.00
_cell_angle_beta 90.00
_cell_angle_gamma 90.00
_space_group_name_H-M_alt 'P 1'
_space_group_IT_number 1
loop_
_space_group_symop_operation_xyz
'x,y,z'
loop_
_atom_site_label
_atom_site_fract_x
_atom_site_fract_y
_atom_site_fract_z
Ba1 0.000 0.000 0.000
Sc1 0.000 0.500 0.500
Sc2 0.500 0.000 0.500
Sc3 0.500 0.500 0.000
P1 0.500 0.500 0.500
```

no.,ΔH_f (0 K) (eV per atom)
1,-0.08
2,1.43
3,-0.47
4,-0.14
5,0.06
6,0.01
7,-0.67
8,-0.26